DFT (PBE) results for crystalline Li2PdPt2 at its relaxed geometry.

a b c (Å): 7.0074 7.0074 2.7715
angles (deg): 90.00 90.00 90.00
Last column: nearest neighbours and their distance in Å.
Atoms (fractional coordinates):
Li 0.1151 0.3849 0.0000  1 Li 2.28, 2 Pt 2.42
Li 0.3849 0.8849 0.0000  1 Li 2.28, 2 Pt 2.42
Li 0.6151 0.1151 0.0000  1 Li 2.28, 2 Pt 2.42
Li 0.8849 0.6151 0.0000  1 Li 2.28, 2 Pt 2.42
Pd 0.0000 0.0000 0.0000  2 Pd 2.77, 4 Li 2.82, 8 Pt 2.91
Pd 0.5000 0.5000 0.0000  2 Pd 2.77, 4 Li 2.82, 8 Pt 2.91
Pt 0.1851 0.6851 0.5000  6 Li 2.42-2.57
Pt 0.3149 0.1851 0.5000  6 Li 2.42-2.57
Pt 0.6851 0.8149 0.5000  6 Li 2.42-2.57
Pt 0.8149 0.3149 0.5000  6 Li 2.42-2.57

Properties
relative energy among the computed polymorphs: 0 meV/atom
SG: P4/mbm (127)
E_tot: -4.54 eV per atom
calculated volume: 68 Å³/f.u.
magnetization: 0.00 μB/f.u.
DOS(E_F): 0.587 states/eV/atom
formation energy from the elements: -322.7 meV per atom